<A>
This record from Alexandria describes a relaxed structure of PrTm3. The functional is GGA-PBEsol.

Lattice parameters (Å, degrees): 7.0720 7.0720 5.5600 90.00 90.00 120.00
Space group P6_3/mmc (No. 194)
Unique sites:
Pr (0.3333, 0.6667, 0.2500)
Tm (0.1649, 0.3298, 0.7500)

<B>
This record from Alexandria describes a relaxed structure of PrTm3. The functional is GGA-PBEsol.

Lattice parameters (Å, degrees): 4.927 4.927 9.780 90.00 90.00 90.00
Space group I4/mmm (No. 139)
Unique sites:
Pr (0.000, 0.000, 0.000)
Tm (0.000, 0.000, 0.500)
Tm (0.000, 0.500, 0.250)

Least stable structure: <B>

<A>
This record from Alexandria describes a relaxed structure of LiAg2. The functional is GGA-PBEsol.

Lattice parameters (Å, degrees): 10.451 2.822 6.799 90.00 106.92 90.00
Space group C2/m (No. 12)
Unique sites:
Li (0.188, 0.000, 0.151)
Ag (0.037, 0.500, 0.816)
Ag (0.140, 0.000, 0.530)

<B>
This record from Alexandria describes a relaxed structure of LiAg2. The functional is GGA-PBEsol.

Lattice parameters (Å, degrees): 2.8637 2.8637 6.7278 90.00 90.00 120.00
Space group P-3m1 (No. 164)
Unique sites:
Li (0.0000, 0.0000, 0.0000)
Ag (0.3333, 0.6667, 0.3240)

Least stable structure: <B>

<A>
This record from Alexandria describes a relaxed structure of TiSiP2S. The functional is GGA-PBEsol.

Lattice parameters (Å, degrees): 4.427 4.427 4.421 90.00 90.00 90.00
Space group P4/mmm (No. 123)
Unique sites:
Ti (0.000, 0.000, 0.000)
Si (0.500, 0.500, 0.500)
P (0.000, 0.500, 0.500)
S (0.500, 0.500, 0.000)

<B>
This record from Alexandria describes a relaxed structure of TiSiP2S. The functional is GGA-PBEsol.

Lattice parameters (Å, degrees): 4.673 4.673 4.537 90.00 90.00 90.00
Space group P4/mmm (No. 123)
Unique sites:
Ti (0.000, 0.000, 0.000)
Si (0.500, 0.500, 0.500)
P (0.000, 0.500, 0.000)
S (0.000, 0.000, 0.500)

Least stable structure: <A>

<A>
This record from Alexandria describes a relaxed structure of LiCrO2. The functional is GGA-PBEsol.

Lattice parameters (Å, degrees): 2.8943 2.8943 9.6888 90.00 90.00 120.00
Space group P6_3mc (No. 186)
Unique sites:
Li (0.3333, 0.6667, 0.0000)
Cr (0.3333, 0.6667, 0.2608)
O (0.0000, 0.0000, 0.3728)
O (0.3333, 0.6667, 0.6507)

<B>
This record from Alexandria describes a relaxed structure of LiCrO2. The functional is GGA-PBEsol.

Lattice parameters (Å, degrees): 5.005 5.005 5.005 90.00 90.00 90.00
Space group Fm-3m (No. 225)
Unique sites:
Li (0.000, 0.000, 0.000)
Cr (0.000, 0.000, 0.500)
O (0.250, 0.250, 0.250)

Least stable structure: <B>

<A>
This record from Alexandria describes a relaxed structure of BaAg3. The functional is GGA-PBEsol.

Lattice parameters (Å, degrees): 4.693 7.179 6.127 90.00 90.00 90.00
Space group Pmmn (No. 59, origin choice 2)
Unique sites:
Ba (0.250, 0.250, 0.136)
Ag (0.250, 0.050, 0.621)
Ag (0.250, 0.750, 0.327)

<B>
This record from Alexandria describes a relaxed structure of BaAg3. The functional is GGA-PBEsol.

Lattice parameters (Å, degrees): 4.2392 4.2392 7.2304 90.00 90.00 120.00
Space group P-6m2 (No. 187)
Unique sites:
Ba (0.0000, 0.0000, 0.0000)
Ag (0.0000, 0.0000, 0.5000)
Ag (0.6667, 0.3333, 0.3127)

Least stable structure: <B>

<A>
This record from Alexandria describes a relaxed structure of LaY2Cl. The functional is GGA-PBEsol.

Lattice parameters (Å, degrees): 5.684 5.684 3.457 90.00 90.00 90.00
Space group P4/mmm (No. 123)
Unique sites:
La (0.000, 0.000, 0.000)
Y (0.000, 0.500, 0.500)
Cl (0.500, 0.500, 0.000)

<B>
This record from Alexandria describes a relaxed structure of LaY2Cl. The functional is GGA-PBEsol.

Lattice parameters (Å, degrees): 7.687 7.687 7.687 90.00 90.00 90.00
Space group Fm-3m (No. 225)
Unique sites:
La (0.000, 0.000, 0.000)
Y (0.250, 0.250, 0.250)
Cl (0.000, 0.000, 0.500)

Least stable structure: <B>

<A>
This record from Alexandria describes a relaxed structure of TaRuPb2. The functional is GGA-PBEsol.

Lattice parameters (Å, degrees): 6.762 6.762 6.762 90.00 90.00 90.00
Space group Fm-3m (No. 225)
Unique sites:
Ta (0.000, 0.000, 0.000)
Ru (0.000, 0.000, 0.500)
Pb (0.250, 0.250, 0.250)

<B>
This record from Alexandria describes a relaxed structure of TaRuPb2. The functional is GGA-PBEsol.

Lattice parameters (Å, degrees): 9.241 3.154 5.513 90.00 103.37 90.00
Space group C2/m (No. 12)
Unique sites:
Ta (0.000, 0.000, 0.000)
Ru (0.000, 0.500, 0.500)
Pb (0.242, 0.000, 0.740)

Least stable structure: <A>